Density functional theory data (PBE-GGA) for crystalline TaSbBr3 at its relaxed geometry. Values from VASP.

Structure (Quantum ESPRESSO input):
```
&SYSTEM
  ibrav = 0, nat = 5, ntyp = 3
/
ATOMIC_SPECIES
Ta 180.95 Ta.upf
Sb 121.76 Sb.upf
Br 79.90 Br.upf
ATOMIC_POSITIONS crystal
Ta 0.0000 0.0000 0.0000
Sb 0.5000 0.5000 0.5000
Br 0.0000 0.0000 0.5000
Br 0.0000 0.5000 0.0000
Br 0.5000 0.0000 0.0000
CELL_PARAMETERS angstrom
5.2309 0.0000 0.0000
0.0000 5.2309 0.0000
0.0000 0.0000 5.2309
```

Values from the calculation:
density: 6.3 Mg/m³
Fermi-level density of states: 3.77 states/eV/cell
crystal system: cubic
formation energy (no corrections): 0.2903 eV per atom